Crystalline AlMoF2 at its relaxed geometry, computed with PBEsol.

The value obtained for the total energy is -5.62 eV/atom.

The structure belongs to space group R-3m (No. 166, hexagonal axes); the cell edges are 3.3550, 3.3550 and 15.5677 Å and the angles 90.00°, 90.00° and 120.00°. The inequivalent atoms are Al at (0.0000, 0.0000, 0.0000), Mo at (0.0000, 0.0000, 0.5000) and F at (0.0000, 0.0000, 0.3630).